Run i
# CoTc3Cl

A relaxed CoTc3Cl crystal (PBE-GGA, the Alexandria database).

```
data_CoTc3Cl
_symmetry_space_group_name_H-M 'P 1'
_symmetry_Int_Tables_number 1
_symmetry_space_group_name_Hall 'P 1'
_cell_length_a 4.278
_cell_length_b 4.278
_cell_length_c 4.278
_cell_angle_alpha 90.00
_cell_angle_beta 90.00
_cell_angle_gamma 90.00
loop_
_atom_site_label
_atom_site_fract_x
_atom_site_fract_y
_atom_site_fract_z
Tc1 0.000 0.000 0.500
Tc2 0.500 0.000 0.000
Tc3 0.000 0.500 0.000
Cl1 0.000 0.000 0.000
Co1 0.500 0.500 0.500
```

---

Run ii
# CoTc3Cl

A relaxed CoTc3Cl crystal (PBE-GGA, the Alexandria database).

```
data_CoTc3Cl
_symmetry_space_group_name_H-M 'P 1'
_symmetry_Int_Tables_number 1
_symmetry_space_group_name_Hall 'P 1'
_cell_length_a 4.519
_cell_length_b 4.519
_cell_length_c 4.519
_cell_angle_alpha 90.00
_cell_angle_beta 90.00
_cell_angle_gamma 90.00
loop_
_atom_site_label
_atom_site_fract_x
_atom_site_fract_y
_atom_site_fract_z
Tc1 0.000 0.500 0.000
Tc2 0.000 0.000 0.500
Tc3 0.500 0.000 0.000
Cl1 0.500 0.500 0.500
Co1 0.000 0.000 0.000
```

---

According to the calculations, the structures order from most to least stable as run i, run ii.

---

Run i
# CoTcCl

A relaxed CoTcCl crystal (PBE-GGA, the Alexandria database).

```
data_CoTcCl
_symmetry_space_group_name_H-M 'P 1'
_symmetry_Int_Tables_number 1
_symmetry_space_group_name_Hall 'P 1'
_cell_length_a 6.077
_cell_length_b 6.077
_cell_length_c 6.077
_cell_angle_alpha 152.96
_cell_angle_beta 152.96
_cell_angle_gamma 38.61
loop_
_atom_site_label
_atom_site_fract_x
_atom_site_fract_y
_atom_site_fract_z
Tc1 0.676 0.676 0.000
Cl1 0.022 0.022 0.000
Co1 0.302 0.302 0.000
```

---

Run ii
# CoTcCl

A relaxed CoTcCl crystal (PBE-GGA, the Alexandria database).

```
data_CoTcCl
_symmetry_space_group_name_H-M 'P 1'
_symmetry_Int_Tables_number 1
_symmetry_space_group_name_Hall 'P 1'
_cell_length_a 2.872
_cell_length_b 2.872
_cell_length_c 5.856
_cell_angle_alpha 90.00
_cell_angle_beta 90.00
_cell_angle_gamma 120.00
loop_
_atom_site_label
_atom_site_fract_x
_atom_site_fract_y
_atom_site_fract_z
Tc1 0.333 0.667 0.656
Cl1 0.000 0.000 0.006
Co1 0.667 0.333 0.338
```

---

According to the calculations, the structures order from most to least stable as run ii, run i.

---

Run i
# CoTe2Cl

A relaxed CoTe2Cl crystal (PBE-GGA, the Alexandria database).

```
data_CoTe2Cl
_symmetry_space_group_name_H-M 'P 1'
_symmetry_Int_Tables_number 1
_symmetry_space_group_name_Hall 'P 1'
_cell_length_a 3.237
_cell_length_b 3.237
_cell_length_c 10.542
_cell_angle_alpha 90.00
_cell_angle_beta 90.00
_cell_angle_gamma 112.11
loop_
_atom_site_label
_atom_site_fract_x
_atom_site_fract_y
_atom_site_fract_z
Te1 0.500 0.500 0.234
Te2 0.000 0.000 0.912
Co1 0.500 0.500 0.747
Cl1 0.000 0.000 0.607
```

---

Run ii
# CoTe2Cl

A relaxed CoTe2Cl crystal (PBE-GGA, the Alexandria database).

```
data_CoTe2Cl
_symmetry_space_group_name_H-M 'P 1'
_symmetry_Int_Tables_number 1
_symmetry_space_group_name_Hall 'P 1'
_cell_length_a 3.255
_cell_length_b 6.986
_cell_length_c 4.464
_cell_angle_alpha 90.00
_cell_angle_beta 90.00
_cell_angle_gamma 90.00
loop_
_atom_site_label
_atom_site_fract_x
_atom_site_fract_y
_atom_site_fract_z
Cl1 0.500 0.000 0.500
Co1 0.000 0.500 0.500
Te1 0.500 0.500 0.000
Te2 0.000 0.000 0.000
```

---

According to the calculations, the structures order from most to least stable as run i, run ii.

---

Run i
# CoTe2Cl

A relaxed CoTe2Cl crystal (PBE-GGA, the Alexandria database).

```
data_CoTe2Cl
_symmetry_space_group_name_H-M 'P 1'
_symmetry_Int_Tables_number 1
_symmetry_space_group_name_Hall 'P 1'
_cell_length_a 5.546
_cell_length_b 5.546
_cell_length_c 3.239
_cell_angle_alpha 90.00
_cell_angle_beta 90.00
_cell_angle_gamma 114.78
loop_
_atom_site_label
_atom_site_fract_x
_atom_site_fract_y
_atom_site_fract_z
Te1 0.500 0.500 0.000
Te2 0.000 0.000 0.000
Cl1 0.500 0.000 0.500
Co1 0.000 0.500 0.500
```

---

Run ii
# CoTe2Cl

A relaxed CoTe2Cl crystal (PBE-GGA, the Alexandria database).

```
data_CoTe2Cl
_symmetry_space_group_name_H-M 'P 1'
_symmetry_Int_Tables_number 1
_symmetry_space_group_name_Hall 'P 1'
_cell_length_a 10.227
_cell_length_b 10.227
_cell_length_c 10.227
_cell_angle_alpha 18.49
_cell_angle_beta 18.49
_cell_angle_gamma 18.49
loop_
_atom_site_label
_atom_site_fract_x
_atom_site_fract_y
_atom_site_fract_z
Co1 0.000 0.000 0.000
Cl1 0.500 0.500 0.500
Te1 0.082 0.082 0.082
Te2 0.918 0.918 0.918
```

---

Run iii
# CoTe2Cl

A relaxed CoTe2Cl crystal (PBE-GGA, the Alexandria database).

```
data_CoTe2Cl
_symmetry_space_group_name_H-M 'P 1'
_symmetry_Int_Tables_number 1
_symmetry_space_group_name_Hall 'P 1'
_cell_length_a 4.836
_cell_length_b 4.836
_cell_length_c 4.836
_cell_angle_alpha 60.00
_cell_angle_beta 60.00
_cell_angle_gamma 60.00
loop_
_atom_site_label
_atom_site_fract_x
_atom_site_fract_y
_atom_site_fract_z
Te1 0.750 0.750 0.750
Te2 0.250 0.250 0.250
Cl1 0.000 0.000 0.000
Co1 0.500 0.500 0.500
```

---

Run iv
# CoTe2Cl

A relaxed CoTe2Cl crystal (PBE-GGA, the Alexandria database).

```
data_CoTe2Cl
_symmetry_space_group_name_H-M 'P 1'
_symmetry_Int_Tables_number 1
_symmetry_space_group_name_Hall 'P 1'
_cell_length_a 5.014
_cell_length_b 5.014
_cell_length_c 5.014
_cell_angle_alpha 119.54
_cell_angle_beta 119.54
_cell_angle_gamma 90.79
loop_
_atom_site_label
_atom_site_fract_x
_atom_site_fract_y
_atom_site_fract_z
Te1 0.000 0.000 0.000
Te2 0.250 0.750 0.500
Co1 0.750 0.250 0.500
Cl1 0.500 0.500 0.000
```

---

According to the calculations, the structures order from most to least stable as run iii, run ii, run iv, run i.

---

Run i
# CoTe2Cl

A relaxed CoTe2Cl crystal (PBE-GGA, the Alexandria database).

```
data_CoTe2Cl
_symmetry_space_group_name_H-M 'P 1'
_symmetry_Int_Tables_number 1
_symmetry_space_group_name_Hall 'P 1'
_cell_length_a 3.801
_cell_length_b 3.801
_cell_length_c 7.756
_cell_angle_alpha 75.82
_cell_angle_beta 75.82
_cell_angle_gamma 60.00
loop_
_atom_site_label
_atom_site_fract_x
_atom_site_fract_y
_atom_site_fract_z
Co1 0.669 0.669 0.994
Te1 0.278 0.278 0.165
Te2 0.060 0.060 0.820
Cl1 0.493 0.493 0.521
```

---

Run ii
# CoTe2Cl

A relaxed CoTe2Cl crystal (PBE-GGA, the Alexandria database).

```
data_CoTe2Cl
_symmetry_space_group_name_H-M 'P 1'
_symmetry_Int_Tables_number 1
_symmetry_space_group_name_Hall 'P 1'
_cell_length_a 3.820
_cell_length_b 3.820
_cell_length_c 7.438
_cell_angle_alpha 79.35
_cell_angle_beta 79.35
_cell_angle_gamma 60.19
loop_
_atom_site_label
_atom_site_fract_x
_atom_site_fract_y
_atom_site_fract_z
Co1 0.750 0.750 0.750
Te1 0.455 0.455 0.576
Te2 0.045 0.045 0.924
Cl1 0.250 0.250 0.250
```

---

According to the calculations, the structures order from most to least stable as run ii, run i.

---

Run i
# CoTe2Cl

A relaxed CoTe2Cl crystal (PBE-GGA, the Alexandria database).

```
data_CoTe2Cl
_symmetry_space_group_name_H-M 'P 1'
_symmetry_Int_Tables_number 1
_symmetry_space_group_name_Hall 'P 1'
_cell_length_a 6.504
_cell_length_b 4.120
_cell_length_c 4.120
_cell_angle_alpha 90.00
_cell_angle_beta 90.00
_cell_angle_gamma 90.00
loop_
_atom_site_label
_atom_site_fract_x
_atom_site_fract_y
_atom_site_fract_z
Te1 0.000 0.000 0.000
Te2 0.000 0.500 0.500
Co1 0.500 0.000 0.500
Cl1 0.500 0.500 0.000
```

---

Run ii
# CoTe2Cl

A relaxed CoTe2Cl crystal (PBE-GGA, the Alexandria database).

```
data_CoTe2Cl
_symmetry_space_group_name_H-M 'P 1'
_symmetry_Int_Tables_number 1
_symmetry_space_group_name_Hall 'P 1'
_cell_length_a 3.284
_cell_length_b 3.291
_cell_length_c 7.770
_cell_angle_alpha 90.00
_cell_angle_beta 90.00
_cell_angle_gamma 90.00
loop_
_atom_site_label
_atom_site_fract_x
_atom_site_fract_y
_atom_site_fract_z
Cl1 0.500 0.500 0.250
Co1 0.500 0.500 0.750
Te1 0.000 0.000 0.944
Te2 0.000 0.000 0.556
```

---

Run iii
# CoTe2Cl

A relaxed CoTe2Cl crystal (PBE-GGA, the Alexandria database).

```
data_CoTe2Cl
_symmetry_space_group_name_H-M 'P 1'
_symmetry_Int_Tables_number 1
_symmetry_space_group_name_Hall 'P 1'
_cell_length_a 3.400
_cell_length_b 5.899
_cell_length_c 6.806
_cell_angle_alpha 48.94
_cell_angle_beta 90.00
_cell_angle_gamma 90.00
loop_
_atom_site_label
_atom_site_fract_x
_atom_site_fract_y
_atom_site_fract_z
Te1 0.000 0.866 0.926
Te2 0.500 0.258 0.230
Cl1 0.000 0.598 0.620
Co1 0.500 0.778 0.725
```

---

According to the calculations, the structures order from most to least stable as run iii, run ii, run i.